Computed, not measured: KMnN3 after structural relaxation at the PBEsol level of DFT.

```
5
Lattice="3.753 0.000 0.000 0.000 3.753 0.000 0.000 0.000 3.753" Properties=species:S:1:pos:R:3 pbc="T T T"
K 1.877 1.877 1.877
Mn 0.000 0.000 0.000
N 0.000 1.877 0.000
N 0.000 0.000 1.877
N 1.877 0.000 0.000
```

Summary:
Calculated volume: 10.57 A^3/atom
Formation energy (no corrections): 654.8 meV/atom
Total energy: -6.640 eV/atom
M_tot: 0.064 μB per atom

=====

Computed, not measured: K2MnN2 after structural relaxation at the PBEsol level of DFT.

```
20
Lattice="5.384 0.000 0.000 0.000 5.971 0.000 0.000 0.000 12.023" Properties=species:S:1:pos:R:3 pbc="T T T"
K 4.038 1.700 11.637
K 4.038 4.685 6.398
K 1.346 4.271 0.386
K 1.346 1.286 5.625
K 4.038 5.281 2.124
K 4.038 2.296 3.887
K 1.346 0.690 9.898
K 1.346 3.675 8.136
Mn 4.038 1.594 8.148
Mn 4.038 4.580 9.887
Mn 1.346 4.377 3.875
Mn 1.346 1.391 2.136
N 4.038 1.618 6.536
N 4.038 4.604 11.498
N 1.346 4.353 5.487
N 1.346 1.367 0.524
N 4.038 3.074 9.037
N 4.038 0.089 8.997
N 1.346 2.897 2.986
N 1.346 5.882 3.025
```

Summary:
Calculated volume: 19.32 A^3/atom
Formation energy (no corrections): -288.7 meV/atom
Total energy: -6.105 eV/atom
M_tot: 0.000 μB per atom

=====

Computed, not measured: KMnNO2 after structural relaxation at the PBEsol level of DFT.

```
5
Lattice="-1.130 0.602 3.356 3.554 -0.522 1.290 0.703 3.726 -0.431" Properties=species:S:1:pos:R:3 pbc="T T T"
K 1.564 1.903 2.108
Mn 0.000 0.000 0.000
O 0.352 1.863 -0.216
O 1.777 -0.261 0.645
N -0.565 0.301 1.678
```

Summary:
Calculated volume: 10.46 A^3/atom
Formation energy (no corrections): -677.4 meV/atom
Total energy: -6.661 eV/atom
M_tot: 0.103 μB per atom

=====

Computed, not measured: KNaMn3 after structural relaxation at the PBEsol level of DFT.

```
5
Lattice="5.502 0.000 0.000 0.000 5.502 0.000 0.000 0.000 5.502" Properties=species:S:1:pos:R:3 pbc="T T T"
Na 2.751 2.751 2.751
K 0.000 0.000 0.000
Mn 0.000 2.751 0.000
Mn 0.000 0.000 2.751
Mn 2.751 0.000 0.000
```

Summary:
Calculated volume: 33.31 A^3/atom
Total energy: -4.159 eV/atom
Energy of formation from the pure elements: 1063 kJ/mol of formula units
M_tot: 2.677 μB per atom

=====

Computed, not measured: K2NaMnO4 after structural relaxation at the PBEsol level of DFT.

```
32
Lattice="-0.034 -1.920 -7.396 -7.304 -1.887 1.220 1.283 9.817 1.045" Properties=species:S:1:pos:R:3 pbc="T T T"
K -2.349 -1.219 -1.977
K -4.989 -2.589 -4.199
K 0.110 3.682 -3.608
K -5.371 4.759 -0.862
K -0.527 1.746 -0.451
K -5.528 4.263 -4.680
K -2.531 2.311 -5.831
K -4.318 1.267 0.039
Na -1.629 5.404 -1.395
Na -0.454 0.487 -4.072
Na -1.967 5.506 -5.368
Na -4.426 0.606 -3.736
Mn -6.609 3.021 1.680
Mn -5.539 -1.895 -0.871
Mn -1.799 -1.912 -5.304
Mn -3.080 3.005 -2.503
O -5.063 1.709 -5.693
O -5.247 -1.281 0.680
O -0.841 6.591 -3.236
O -5.837 7.313 0.150
O -2.756 4.319 -3.527
O -2.130 1.685 -2.990
O -6.823 -0.137 -4.569
O 0.403 4.294 -1.092
O -3.160 6.678 -0.190
O -2.156 -2.309 -6.912
O 1.130 8.296 -4.180
O -4.726 2.613 -2.582
O -2.723 3.402 -0.896
O -0.402 6.152 0.824
O -2.749 -0.593 -4.818
O -5.360 -0.657 -2.018
```

Summary:
Calculated volume: 15.47 A^3/atom
Formation energy (no corrections): -1706.5 meV/atom
Total energy: -6.010 eV/atom
M_tot: 0.250 μB per atom

=====

Computed, not measured: KMnNbOs2 after structural relaxation at the PBEsol level of DFT.

```
5
Lattice="4.789 0.000 0.000 0.000 4.789 0.000 0.000 0.000 4.993" Properties=species:S:1:pos:R:3 pbc="T T T"
Nb 0.000 0.000 0.000
Mn 0.000 0.000 2.496
Os 0.000 2.395 0.000
Os 2.395 0.000 0.000
K 2.395 2.395 2.496
```

Summary:
Calculated volume: 22.90 A^3/atom
Total energy: -7.370 eV/atom
Energy of formation from the pure elements: 897 kJ/mol of formula units
M_tot: 0.928 μB per atom

=====

Computed, not measured: KMn2NbRh after structural relaxation at the PBEsol level of DFT.

```
5
Lattice="-2.976 1.986 3.131 -3.754 -0.520 -3.240 -1.011 -4.500 1.894" Properties=species:S:1:pos:R:3 pbc="T T T"
Nb -1.488 0.993 1.565
Mn -0.505 -2.250 0.947
Mn -1.877 -0.260 -1.620
Rh 0.000 0.000 0.000
K -3.871 -1.517 0.892
```

Summary:
Calculated volume: 23.64 A^3/atom
Total energy: -6.877 eV/atom
Energy of formation from the pure elements: 505 kJ/mol of formula units
M_tot: 1.387 μB per atom

=====

Computed, not measured: KMnNi2 after structural relaxation at the PBEsol level of DFT.

```
4
Lattice="-2.719 -0.489 -0.811 -0.525 -1.271 2.525 -2.092 6.759 2.967" Properties=species:S:1:pos:R:3 pbc="T T T"
K -1.622 -0.880 0.857
Mn -2.668 2.499 2.340
Ni -1.402 4.525 1.986
Ni -3.409 1.745 0.170
```

Summary:
Calculated volume: 15.88 A^3/atom
Energy above the lowest structure with this stoichiometry: 0.00 eV per formula unit
Total energy: -5.296 eV/atom
Energy of formation from the pure elements: 196 kJ/mol of formula units
M_tot: 0.952 μB per atom

=====

Computed, not measured: KMnNi2 after structural relaxation at the PBEsol level of DFT.

```
4
Lattice="4.437 0.000 0.000 2.219 3.843 0.000 2.219 1.281 3.623" Properties=species:S:1:pos:R:3 pbc="T T T"
K 4.437 2.562 1.812
Mn 0.000 0.000 0.000
Ni 6.656 3.843 2.717
Ni 2.219 1.281 0.906
```

Summary:
Calculated volume: 15.45 A^3/atom
Energy above the lowest structure with this stoichiometry: 2.21 eV per formula unit
Total energy: -4.742 eV/atom
Energy of formation from the pure elements: 409 kJ/mol of formula units
M_tot: 1.120 μB per atom

=====

Computed, not measured: K2MnNi after structural relaxation at the PBEsol level of DFT.

```
4
Lattice="-0.952 -2.547 -1.683 1.819 -2.135 2.202 -7.134 1.432 7.280" Properties=species:S:1:pos:R:3 pbc="T T T"
K -7.463 -1.188 5.011
K -2.264 -2.726 2.113
Mn -4.850 -0.583 3.439
Ni -3.822 -0.425 5.631
```

Summary:
Calculated volume: 28.19 A^3/atom
Energy above the lowest structure with this stoichiometry: 0.00 eV per formula unit
Total energy: -3.920 eV/atom
Energy of formation from the pure elements: 242 kJ/mol of formula units
M_tot: 1.064 μB per atom

=====

Computed, not measured: KMnNi2 after structural relaxation at the PBEsol level of DFT.

```
4
Lattice="-2.093 -0.447 -1.631 -2.249 -2.977 3.701 0.003 5.512 0.705" Properties=species:S:1:pos:R:3 pbc="T T T"
K -1.046 -0.223 -0.815
Mn -1.124 -1.489 1.851
Ni -3.061 -0.151 1.750
Ni -1.277 2.239 1.025
```

Summary:
Calculated volume: 16.64 A^3/atom
Energy above the lowest structure with this stoichiometry: 1.73 eV per formula unit
Total energy: -4.864 eV/atom
Energy of formation from the pure elements: 362 kJ/mol of formula units
M_tot: 1.154 μB per atom

=====

Computed, not measured: K2MnNi after structural relaxation at the PBEsol level of DFT.

```
4
Lattice="-0.841 0.407 3.244 -2.639 -5.116 -0.041 6.795 -0.266 0.038" Properties=species:S:1:pos:R:3 pbc="T T T"
K 0.404 -0.210 0.131
K 1.076 -3.800 0.756
Mn 4.302 -2.230 1.395
Ni 2.587 -1.356 2.597
```

Summary:
Calculated volume: 28.79 A^3/atom
Energy above the lowest structure with this stoichiometry: 0.68 eV per formula unit
Total energy: -3.750 eV/atom
Energy of formation from the pure elements: 307 kJ/mol of formula units
M_tot: 1.192 μB per atom

=====

Computed, not measured: K2MnNi after structural relaxation at the PBEsol level of DFT.

```
4
Lattice="-1.131 -1.016 3.900 1.803 -3.733 -0.449 4.601 1.999 1.855" Properties=species:S:1:pos:R:3 pbc="T T T"
K 0.000 0.000 0.000
K 0.336 -2.374 1.725
Mn 1.735 0.492 2.877
Ni 3.202 -0.867 0.703
```

Summary:
Calculated volume: 23.33 A^3/atom
Energy above the lowest structure with this stoichiometry: 2.07 eV per formula unit
Total energy: -3.401 eV/atom
Energy of formation from the pure elements: 442 kJ/mol of formula units
M_tot: 1.123 μB per atom

=====

Computed, not measured: KMnNi2 after structural relaxation at the PBEsol level of DFT.

```
4
Lattice="2.721 0.000 0.000 0.000 4.700 0.000 0.000 0.000 4.700" Properties=species:S:1:pos:R:3 pbc="T T T"
K 1.360 2.350 2.350
Mn 1.360 0.000 0.000
Ni 0.000 0.000 2.350
Ni 0.000 2.350 0.000
```

Summary:
Calculated volume: 15.02 A^3/atom
Energy above the lowest structure with this stoichiometry: 1.84 eV per formula unit
Total energy: -4.835 eV/atom
Energy of formation from the pure elements: 373 kJ/mol of formula units
M_tot: 1.111 μB per atom

=====

Computed, not measured: K2MnNi after structural relaxation at the PBEsol level of DFT.

```
4
Lattice="-0.052 2.799 -2.229 -5.007 -0.215 -0.154 -0.286 3.511 4.415" Properties=species:S:1:pos:R:3 pbc="T T T"
K -0.213 2.607 3.278
K -0.074 0.904 1.137
Mn -2.530 1.292 -1.191
Ni -2.673 3.047 1.016
```

Summary:
Calculated volume: 25.33 A^3/atom
Energy above the lowest structure with this stoichiometry: 2.26 eV per formula unit
Total energy: -3.356 eV/atom
Energy of formation from the pure elements: 459 kJ/mol of formula units
M_tot: 1.156 μB per atom

=====

Computed, not measured: K2MnO4 after structural relaxation at the PBEsol level of DFT.

```
28
Lattice="5.804 0.000 0.000 0.000 7.605 0.000 0.000 0.000 10.271" Properties=species:S:1:pos:R:3 pbc="T T T"
K 4.353 1.240 0.863
K 1.451 6.365 9.408
K 4.353 5.042 4.272
K 1.451 2.562 5.998
K 4.353 7.513 7.150
K 1.451 0.092 3.121
K 4.353 3.711 8.256
K 1.451 3.894 2.014
Mn 4.353 1.744 4.326
Mn 1.451 5.860 5.945
Mn 4.353 5.547 0.809
Mn 1.451 2.058 9.461
O 4.353 0.106 4.304
O 1.451 7.498 5.966
O 4.353 3.909 0.831
O 1.451 3.696 9.440
O 4.353 2.305 5.879
O 1.451 5.300 4.392
O 4.353 6.107 9.527
O 1.451 1.497 0.743
O 5.692 2.323 3.567
O 2.790 5.281 6.703
O 3.014 6.126 1.568
O 0.112 1.479 8.703
O 0.112 5.281 6.703
O 3.014 2.323 3.567
O 2.790 1.479 8.703
O 5.692 6.126 1.568
```

Summary:
Calculated volume: 16.19 A^3/atom
Formation energy (no corrections): -1690.9 meV/atom
Total energy: -6.409 eV/atom
M_tot: 0.143 μB per atom

=====

Computed, not measured: KMnO2 after structural relaxation at the PBEsol level of DFT.

```
8
Lattice="2.889 0.000 0.000 0.000 5.707 -0.088 0.000 -0.705 6.805" Properties=species:S:1:pos:R:3 pbc="T T T"
K 0.722 1.034 2.398
K 2.166 3.969 4.319
Mn 0.722 1.145 5.882
Mn 2.166 3.857 0.835
O 2.166 1.722 0.350
O 0.722 3.280 6.367
O 2.166 1.049 4.628
O 0.722 3.953 2.089
```

Summary:
Calculated volume: 14.00 A^3/atom
Formation energy (no corrections): -1590.6 meV/atom
Total energy: -6.939 eV/atom
M_tot: 1.000 μB per atom

=====

Computed, not measured: K3MnO4 after structural relaxation at the PBEsol level of DFT.

```
8
Lattice="5.734 0.013 0.022 -2.093 5.338 -0.022 -2.093 -2.491 4.722" Properties=species:S:1:pos:R:3 pbc="T T T"
K -2.093 1.424 2.350
K 0.774 3.388 1.175
K 0.774 -0.527 3.547
Mn 0.000 0.000 0.000
O 1.028 2.023 3.338
O -2.682 4.547 1.362
O -2.682 -0.897 4.661
O 1.698 0.037 0.061
```

Summary:
Calculated volume: 18.09 A^3/atom
Formation energy (no corrections): -1646.4 meV/atom
Total energy: -5.916 eV/atom
M_tot: 0.250 μB per atom

=====

Computed, not measured: K11Mn4O16 after structural relaxation at the PBEsol level of DFT.

```
31
Lattice="-4.660 -5.013 3.473 4.559 0.040 6.174 -4.720 9.330 -1.346" Properties=species:S:1:pos:R:3 pbc="T T T"
K -1.038 -0.228 3.967
K -0.106 3.442 4.826
K -2.330 -2.507 1.736
K -2.003 2.873 1.460
K 0.000 0.000 0.000
K -2.819 1.484 6.842
K -2.249 6.236 3.191
K -1.071 -1.866 7.144
K -5.285 4.571 2.301
K -4.715 0.915 3.475
K 2.279 0.020 3.087
Mn -3.625 6.541 0.135
Mn -3.678 3.936 5.190
Mn -3.584 -2.205 4.932
Mn 1.246 0.442 6.347
O -4.389 7.232 1.451
O -2.981 3.441 3.737
O -7.071 2.572 3.082
O 0.221 1.767 2.473
O 1.271 -1.043 5.582
O -2.948 5.065 0.586
O -0.351 0.929 6.581
O -2.541 0.253 1.664
O -0.208 6.335 5.093
O -2.482 4.102 6.366
O -4.413 -1.976 3.481
O -3.362 -0.721 5.699
O -4.426 5.414 4.976
O -2.098 -2.889 4.595
O 2.044 1.563 5.373
O -4.837 2.811 5.675
```

Summary:
Calculated volume: 17.18 A^3/atom
Formation energy (no corrections): -1704.2 meV/atom
Total energy: -6.075 eV/atom
M_tot: 0.226 μB per atom

=====

Computed, not measured: K3MnO3 after structural relaxation at the PBEsol level of DFT.

```
28
Lattice="6.538 0.022 0.000 -0.678 6.641 0.000 0.000 0.000 11.456" Properties=species:S:1:pos:R:3 pbc="T T T"
K 2.157 0.964 11.351
K 4.043 2.379 5.623
K 3.704 5.699 0.105
K 1.818 4.285 5.833
K 2.785 3.284 2.414
K 3.415 0.059 8.142
K 3.076 3.380 9.043
K 2.446 6.604 3.315
K 6.107 2.784 8.300
K 0.092 0.559 2.572
K -0.247 3.880 3.157
K 5.768 6.104 8.885
Mn 4.922 5.591 5.697
Mn 5.261 2.270 0.031
Mn 0.600 4.393 11.425
Mn 0.939 1.073 5.759
O 5.465 3.959 10.565
O 0.056 6.025 4.837
O 0.395 2.704 0.891
O 5.804 0.639 6.619
O 1.436 5.239 10.026
O 4.085 4.745 4.297
O 4.424 1.424 1.431
O 1.775 1.918 7.159
O 4.572 1.318 10.082
O 1.627 2.024 4.354
O 1.288 5.345 1.375
O 4.233 4.639 7.103
```

Summary:
Calculated volume: 17.77 A^3/atom
Formation energy (no corrections): -1462.9 meV/atom
Total energy: -5.593 eV/atom
M_tot: 0.571 μB per atom

=====

Computed, not measured: KMnO2 after structural relaxation at the PBEsol level of DFT.

```
4
Lattice="2.879 0.000 0.000 1.439 3.106 0.007 1.439 0.527 5.883" Properties=species:S:1:pos:R:3 pbc="T T T"
K 2.879 1.817 2.945
Mn 0.000 0.000 0.000
O 4.318 2.983 4.805
O 1.439 0.650 1.086
```

Summary:
Calculated volume: 13.15 A^3/atom
Formation energy (no corrections): -1570.1 meV/atom
Total energy: -6.918 eV/atom
M_tot: 1.000 μB per atom

=====

Computed, not measured: KMnO2 after structural relaxation at the PBEsol level of DFT.

```
8
Lattice="5.449 -0.046 0.071 -2.305 4.938 -0.071 2.305 1.975 4.526" Properties=species:S:1:pos:R:3 pbc="T T T"
K 0.000 3.457 2.228
K 2.725 5.162 3.377
Mn 0.000 0.000 0.000
Mn 2.725 1.705 1.149
O 0.951 1.117 1.158
O 5.651 5.010 4.518
O 2.926 2.481 2.838
O 1.371 5.128 0.539
```

Summary:
Calculated volume: 15.12 A^3/atom
Formation energy (no corrections): -1529.1 meV/atom
Total energy: -6.877 eV/atom
M_tot: 1.000 μB per atom